Record 1
Here is a geometry-optimized Cr2CoTc structure from the Alexandria database. Energies are from GGA-PBE.

Unit cell a=6.4781 b=6.4781 c=5.2106 alpha=51.56 beta=51.56 gamma=90.00
With the nearest neighbours (Å) after each atom.
Positions (direct):
Tc 0.7500 0.2500 0.5000  4 Cr 2.43, 2 Co 2.48
Tc 0.0000 0.0000 0.0000  4 Cr 2.43, 2 Co 2.48
Co 0.5000 0.5000 0.0000  4 Cr 2.32, 2 Tc 2.48
Co 0.2500 0.7500 0.5000  4 Cr 2.32, 2 Tc 2.48
Cr 0.1374 0.6250 0.2500  2 Co 2.32, 2 Tc 2.43, 2 Cr 2.49
Cr 0.3750 0.3874 0.7500  2 Co 2.32, 2 Tc 2.43, 2 Cr 2.49
Cr 0.8750 0.8626 0.7500  2 Co 2.32, 2 Tc 2.43, 2 Cr 2.49
Cr 0.6126 0.1250 0.2500  2 Co 2.32, 2 Tc 2.43, 2 Cr 2.49

Calculated values
- Energy of formation from the pure elements: 0.70 eV per atom
- Volume: 104 Å³ per cell
- Calculated total energy: -8.48 eV per atom

***

Record 2
Here is a geometry-optimized TcPtS2 structure from the Alexandria database. Energies are from GGA-PBE.

Unit cell a=5.4333 b=5.4333 c=6.4206 alpha=64.97 beta=64.97 gamma=90.00
With the nearest neighbours (Å) after each atom.
Positions (direct):
S 0.1413 0.6250 0.2500  2 Tc 2.26, 2 Pt 2.36
S 0.3750 0.3913 0.7500  2 Tc 2.26, 2 Pt 2.36
S 0.6087 0.1250 0.2500  2 Tc 2.26, 2 Pt 2.36
S 0.8750 0.8587 0.7500  2 Tc 2.26, 2 Pt 2.36
Pt 0.0000 0.0000 0.0000  4 S 2.36
Pt 0.7500 0.2500 0.5000  4 S 2.36
Tc 0.5000 0.5000 0.0000  4 S 2.26
Tc 0.2500 0.7500 0.5000  4 S 2.26

Calculated values
- Volume: 152 Å³ per cell
- Distance to the lowest polymorph of the same formula: 0.484 eV/f.u.
- Formation energy from raw total energies: -100 meV/atom
- Calculated total energy: -6.27 eV per atom

***

Record 3
Here is a geometry-optimized LiPmOs2O8 structure from the Alexandria database. Energies are from GGA-PBE.

Unit cell a=5.2662 b=5.2662 c=6.7917 alpha=112.81 beta=112.81 gamma=90.00
With the nearest neighbours (Å) after each atom.
Positions (direct):
O 0.4224 0.3375 0.1680  1 Os 1.82
O 0.1695 0.5776 0.8320  1 Os 1.82
O 0.3266 0.9105 0.3307  1 Os 1.82
O 0.0042 0.4202 0.3307  1 Os 1.82
O 0.5798 0.6734 0.6693  1 Os 1.82
O 0.7456 0.8305 0.1680  1 Os 1.82
O 0.0895 0.9958 0.6693  1 Os 1.82
O 0.6625 0.2544 0.8320  1 Os 1.82
Pm 0.0000 0.0000 0.0000  8 O 2.42-2.46
Os 0.2500 0.7500 0.5000  4 O 1.82
Os 0.5000 0.5000 0.0000  4 O 1.82
Li 0.7500 0.2500 0.5000  8 O 2.43-2.46

Calculated values
- Volume: 158 Å³ per cell
- Formation energy from raw total energies: -1511 meV/atom
- Calculated total energy: -7.24 eV per atom

***

Record 4
Here is a geometry-optimized NdDy7Y2 structure from the Alexandria database. Energies are from GGA-PBE.

Unit cell a=5.2946 b=9.6369 c=9.6369 alpha=126.92 beta=90.00 gamma=90.00
With the nearest neighbours (Å) after each atom.
Positions (direct):
Dy 0.5000 0.0696 0.2881  4 Dy 3.08-3.42, 1 Y 3.21
Dy 0.5000 0.2881 0.0696  4 Dy 3.08-3.42, 1 Y 3.21
Dy 0.5000 0.9304 0.7119  4 Dy 3.08-3.42, 1 Y 3.21
Dy 0.5000 0.5000 0.5000  4 Dy 3.35, 2 Y 3.51
Dy 0.0000 0.8018 0.1982  2 Y 3.14, 1 Nd 3.42, 4 Dy 3.42
Dy 0.5000 0.7119 0.9304  4 Dy 3.08-3.42, 1 Y 3.21
Dy 0.0000 0.1982 0.8018  2 Y 3.14, 1 Nd 3.42, 4 Dy 3.42
Y 0.5000 0.7036 0.2964  5 Dy 3.14-3.51
Y 0.5000 0.2964 0.7036  5 Dy 3.14-3.51
Nd 0.0000 0.0000 0.0000  10 Dy 3.42-3.60

Calculated values
- Energy of formation from the pure elements: 0.70 eV per atom
- Volume: 393 Å³ per cell
- Distance to the lowest polymorph of the same formula: 6.852 eV/f.u.
- Calculated total energy: -4.29 eV per atom

***

Record 5
Here is a geometry-optimized Sc8CoRh2 structure from the Alexandria database. Energies are from GGA-PBE.

Unit cell a=5.3957 b=7.1204 c=7.1204 alpha=114.55 beta=101.33 gamma=101.33
With the nearest neighbours (Å) after each atom.
Positions (direct):
Rh 0.4947 0.7007 0.3184  6 Sc 2.61-2.86
Rh 0.4947 0.3184 0.7007  6 Sc 2.61-2.86
Sc 0.5852 0.3400 0.0909  2 Rh 2.61-2.66, 1 Co 2.84
Sc 0.3767 0.9189 0.6684  2 Rh 2.61-2.69, 1 Co 2.83
Sc 0.3767 0.6684 0.9189  2 Rh 2.61-2.69, 1 Co 2.83
Sc 0.9888 0.2013 0.7942  1 Co 2.56
Sc 0.1715 0.3583 0.3583  1 Co 2.70, 2 Rh 2.86
Sc 0.9888 0.7942 0.2013  1 Co 2.56
Sc 0.8068 0.6446 0.6446  1 Co 2.65, 2 Rh 2.81
Sc 0.5852 0.0909 0.3400  2 Rh 2.61-2.66, 1 Co 2.84
Co 0.1307 0.9982 0.9982  8 Sc 2.56-2.84

Calculated values
- Energy of formation from the pure elements: -0.35 eV per atom
- Volume: 232 Å³ per cell
- Calculated total energy: -6.94 eV per atom

***

Record 6
Here is a geometry-optimized TcPAu2 structure from the Alexandria database. Energies are from GGA-PBE.

Unit cell a=8.8100 b=8.8100 c=8.8100 alpha=19.43 beta=19.43 gamma=19.43
With the nearest neighbours (Å) after each atom.
Positions (direct):
Au 0.7543 0.7543 0.7543  3 P 2.91, 9 Au 2.94-2.97
Au 0.9954 0.9954 0.9954  3 Tc 2.90, 9 Au 2.94-2.97
P 0.5115 0.5115 0.5115  3 Tc 2.33
Tc 0.2387 0.2387 0.2387  3 P 2.33

Calculated values
- Energy of formation from the pure elements: 0.03 eV per atom
- Volume: 66 Å³ per cell
- Calculated total energy: -5.55 eV per atom